# 1
This record from Alexandria via LeMat-Bulk describes a relaxed TlAgBrCl2 crystal. The functional is GGA-PBE.

Values from the calculation:
SG ... P4/mmm, No. 123
V ... 28.3 A^3/atom
Crystal system ... tetragonal
Distance to the lowest polymorph of the same formula ... 0 meV per atom
Energy relative to the elements, uncorrected ... -0.579 eV per atom

Geometry as POSCAR:
```
TlAgBrCl2
1.0
-1.671 3.232 3.595
-2.527 -3.827 2.265
4.356 -1.095 3.008
Tl Cl Ag Br
1 2 1 1
Direct
0.500 0.500 0.500 Tl
0.000 0.500 0.000 Cl
0.500 0.000 0.000 Cl
0.000 0.000 0.000 Ag
0.000 0.000 0.500 Br
```


# 2
This record from Alexandria via LeMat-Bulk describes a relaxed Tl2AgBrCl2 crystal. The functional is GGA-PBE.

Values from the calculation:
SG ... Cmc2_1, No. 36
V ... 36.6 A^3/atom
Crystal system ... orthorhombic
Energy relative to the elements, uncorrected ... -0.753 eV per atom

Geometry as POSCAR:
```
Tl2AgBrCl2
1.0
-6.164 0.356 -1.771
-1.508 -9.033 3.432
-0.890 7.169 4.542
Ag Tl Cl Br
2 4 4 2
Direct
0.207 0.154 0.000 Ag
0.707 0.846 0.000 Ag
0.748 0.184 0.673 Tl
0.248 0.489 0.673 Tl
0.748 0.511 0.327 Tl
0.248 0.816 0.327 Tl
0.754 0.835 0.299 Cl
0.754 0.536 0.701 Cl
0.254 0.464 0.299 Cl
0.254 0.165 0.701 Cl
0.263 0.881 0.000 Br
0.763 0.119 0.000 Br
```


# 3
This record from Alexandria via LeMat-Bulk describes a relaxed Tl2AgBr3Cl crystal. The functional is GGA-PBE.

Values from the calculation:
SG ... Immm, No. 71
V ... 32.6 A^3/atom
Crystal system ... orthorhombic
Energy relative to the elements, uncorrected ... -0.609 eV per atom

Geometry as POSCAR:
```
Tl2AgBr3Cl
1.0
5.157 0.000 0.000
0.000 5.343 0.000
-2.579 -2.671 8.272
Cl Tl Br Ag
1 2 3 1
Direct
0.500 0.000 0.000 Cl
0.640 0.640 0.280 Tl
0.360 0.360 0.720 Tl
0.833 0.833 0.666 Br
0.167 0.167 0.334 Br
0.000 0.500 0.000 Br
0.000 0.000 0.000 Ag
```


# 4
This record from Alexandria via LeMat-Bulk describes a relaxed TlAg3Br6Cl2 crystal. The functional is GGA-PBE.

Values from the calculation:
SG ... C2/m, No. 12
V ... 29.0 A^3/atom
Crystal system ... monoclinic
Energy relative to the elements, uncorrected ... -0.323 eV per atom

Geometry as POSCAR:
```
TlAg3Br6Cl2
1.0
-3.193 -5.391 -0.716
4.435 -1.761 -6.516
2.666 -1.749 7.293
Br Ag Cl Tl
6 3 2 1
Direct
0.750 0.850 0.196 Br
0.250 0.654 0.804 Br
0.250 0.150 0.804 Br
0.750 0.346 0.196 Br
0.262 0.164 0.328 Br
0.738 0.836 0.672 Br
0.000 0.500 0.000 Ag
0.500 0.500 0.500 Ag
0.500 0.000 0.500 Ag
0.236 0.651 0.301 Cl
0.764 0.349 0.699 Cl
0.500 0.000 0.000 Tl
```


What did the third record say?
This record from Alexandria via LeMat-Bulk describes a relaxed Tl2AgBr3Cl crystal. The functional is GGA-PBE.

Values from the calculation:
SG ... Immm, No. 71
V ... 32.6 A^3/atom
Crystal system ... orthorhombic
Energy relative to the elements, uncorrected ... -0.609 eV per atom

Geometry as POSCAR:
```
Tl2AgBr3Cl
1.0
5.157 0.000 0.000
0.000 5.343 0.000
-2.579 -2.671 8.272
Cl Tl Br Ag
1 2 3 1
Direct
0.500 0.000 0.000 Cl
0.640 0.640 0.280 Tl
0.360 0.360 0.720 Tl
0.833 0.833 0.666 Br
0.167 0.167 0.334 Br
0.000 0.500 0.000 Br
0.000 0.000 0.000 Ag
```